(1)
This record from Alexandria via LeMat-Bulk describes an optimized crystal structure of LiSc. The functional is PBE-GGA.

Computed properties:
ΔH_f (0 K)	1326	meV per atom
calculated total energy	-2.797	eV/atom
DOS(E_F)	3.7	states/eV per cell
ΔE to the lowest computed polymorph	1.234	eV per atom

Unit cell a=4.352 b=4.352 c=4.352 alpha=60.00 beta=60.00 gamma=60.00
Atoms (fractional coordinates):
Li 0.000 0.000 0.000
Sc 0.750 0.750 0.750



(2)
This record from Alexandria via LeMat-Bulk describes an optimized crystal structure of MgTaSe2. The functional is PBE-GGA.

Computed properties:
calculated total energy	-5.331	eV/atom
DOS(E_F)	2.5	states/eV per cell

Unit cell a=9.947 b=9.947 c=9.947 alpha=19.06 beta=19.06 gamma=19.06
Atoms (fractional coordinates):
Mg 0.000 0.000 0.000
Ta 0.753 0.753 0.753
Se 0.269 0.269 0.269
Se 0.478 0.478 0.478



(3)
This record from Alexandria via LeMat-Bulk describes an optimized crystal structure of Ce2MnAs3Ir4. The functional is PBE-GGA.

Computed properties:
ΔH_f (0 K)	-701	meV per atom
calculated total energy	-7.744	eV/atom
DOS(E_F)	7.4	states/eV per cell

Unit cell a=4.144 b=4.144 c=10.520 alpha=90.00 beta=90.00 gamma=90.00
Atoms (fractional coordinates):
Ce 0.000 0.500 0.249
Ce 0.500 0.000 0.751
Mn 0.500 0.500 0.000
As 0.000 0.000 0.000
As 0.000 0.500 0.637
As 0.500 0.000 0.363
Ir 0.000 0.000 0.500
Ir 0.000 0.500 0.866
Ir 0.500 0.000 0.134
Ir 0.500 0.500 0.500



(4)
This record from Alexandria via LeMat-Bulk describes an optimized crystal structure of Ce2NpO8. The functional is PBE-GGA.

Computed properties:
calculated total energy	-8.565	eV/atom
DOS(E_F)	4.5	states/eV per cell

Unit cell a=6.661 b=6.661 c=6.622 alpha=97.26 beta=97.26 gamma=33.24
Atoms (fractional coordinates):
Ce 0.246 0.246 0.236
Ce 0.754 0.754 0.764
Np 0.000 0.000 0.500
O 0.045 0.045 0.246
O 0.184 0.184 0.560
O 0.306 0.306 0.927
O 0.429 0.429 0.358
O 0.571 0.571 0.642
O 0.694 0.694 0.073
O 0.816 0.816 0.440
O 0.955 0.955 0.754



(5)
This record from Alexandria via LeMat-Bulk describes an optimized crystal structure of Sm2Ho6Tm3In. The functional is PBE-GGA.

Computed properties:
ΔH_f (0 K)	-50	meV per atom
calculated total energy	-4.471	eV/atom
DOS(E_F)	15.7	states/eV per cell

Unit cell a=6.050 b=6.050 c=11.625 alpha=94.98 beta=94.98 gamma=120.03
Atoms (fractional coordinates):
Sm 0.166 0.834 0.000
Sm 0.834 0.166 0.000
Ho 0.088 0.417 0.749
Ho 0.256 0.256 0.252
Ho 0.417 0.088 0.749
Ho 0.583 0.912 0.251
Ho 0.744 0.744 0.748
Ho 0.912 0.583 0.251
Tm 0.000 0.000 0.500
Tm 0.333 0.667 0.500
Tm 0.667 0.333 0.500
In 0.500 0.500 0.000



(6)
This record from Alexandria via LeMat-Bulk describes an optimized crystal structure of ReMo4Rh. The functional is PBE-GGA.

Computed properties:
ΔH_f (0 K)	281	meV per atom
calculated total energy	-10.240	eV/atom
DOS(E_F)	3.6	states/eV per cell

Unit cell a=5.132 b=5.132 c=5.132 alpha=60.00 beta=60.00 gamma=60.00
Atoms (fractional coordinates):
Re 0.000 0.000 0.000
Mo 0.123 0.626 0.626
Mo 0.626 0.123 0.626
Mo 0.626 0.626 0.123
Mo 0.626 0.626 0.626
Rh 0.250 0.250 0.250



(7)
This record from Alexandria via LeMat-Bulk describes an optimized crystal structure of Sr2MnCrRu. The functional is PBE-GGA.

Computed properties:
ΔH_f (0 K)	847	meV per atom
calculated total energy	-5.440	eV/atom
DOS(E_F)	4.8	states/eV per cell

Unit cell a=5.850 b=5.850 c=4.545 alpha=90.00 beta=90.00 gamma=90.00
Atoms (fractional coordinates):
Sr 0.000 0.500 0.000
Sr 0.500 0.000 0.000
Mn 0.000 0.000 0.500
Cr 0.500 0.500 0.500
Ru 0.500 0.500 0.000



(8)
This record from Alexandria via LeMat-Bulk describes an optimized crystal structure of Ac3InPt. The functional is PBE-GGA.

Computed properties:
ΔH_f (0 K)	-641	meV per atom
calculated total energy	-4.862	eV/atom
DOS(E_F)	19.8	states/eV per cell
ΔE to the lowest computed polymorph	0.000	eV per atom

Unit cell a=9.117 b=4.918 c=15.992 alpha=90.00 beta=90.00 gamma=90.00
Atoms (fractional coordinates):
Ac 0.024 0.250 0.114
Ac 0.162 0.250 0.509
Ac 0.186 0.750 0.285
Ac 0.314 0.250 0.785
Ac 0.338 0.750 0.009
Ac 0.476 0.750 0.614
Ac 0.524 0.250 0.386
Ac 0.662 0.250 0.991
Ac 0.686 0.750 0.215
Ac 0.814 0.250 0.715
Ac 0.838 0.750 0.491
Ac 0.976 0.750 0.886
In 0.089 0.750 0.670
In 0.411 0.250 0.170
In 0.589 0.750 0.830
In 0.911 0.250 0.330
Pt 0.160 0.250 0.943
Pt 0.340 0.750 0.443
Pt 0.660 0.250 0.557
Pt 0.840 0.750 0.057